(1)
A relaxed structure of CuNiI6, computed with PBE.

```
CuNiI6
1.0
6.963 0.000 0.000
3.478 6.037 0.000
3.466 2.015 5.940
I Ni Cu
6 1 1
direct
0.742 0.108 0.746
0.595 0.259 0.255
0.109 0.404 0.745
0.891 0.596 0.255
0.405 0.741 0.745
0.258 0.892 0.254
0.500 0.500 0.500
0.000 0.000 0.000
```

Values from the calculation:
* space group: P-1
* total magnetic moment: 0.000 μB per atom



(2)
A relaxed structure of Y2CuNiI2, computed with PBE.

```
Y2CuNiI2
1.0
4.086 0.000 0.000
-2.043 3.539 0.000
0.000 0.000 11.867
Ni Y Cu I
1 2 1 2
direct
0.667 0.333 0.504
0.333 0.667 0.653
0.333 0.667 0.347
0.000 0.000 0.497
0.000 0.000 0.831
0.667 0.333 0.169
```

Values from the calculation:
* space group: P3m1
* total magnetic moment: 0.043 μB per atom



(3)
A relaxed structure of CuP4S3I, computed with PBE.

```
CuP4S3I
1.0
-7.938 0.000 0.000
0.000 0.000 -10.567
-3.969 -10.922 0.000
I P S Cu
4 16 12 4
direct
0.533 0.811 0.935
0.033 0.689 0.935
0.967 0.311 0.065
0.467 0.189 0.065
0.122 0.215 0.756
0.942 0.045 0.834
0.378 0.715 0.244
0.275 0.545 0.166
0.775 0.955 0.166
0.878 0.785 0.244
0.720 0.527 0.560
0.442 0.455 0.834
0.220 0.973 0.560
0.780 0.027 0.440
0.622 0.285 0.756
0.225 0.045 0.834
0.558 0.545 0.166
0.280 0.473 0.440
0.725 0.455 0.834
0.058 0.955 0.166
0.044 0.064 0.320
0.456 0.564 0.680
0.717 0.326 0.567
0.283 0.674 0.433
0.217 0.174 0.567
0.783 0.826 0.433
0.136 0.436 0.320
0.864 0.564 0.680
0.544 0.436 0.320
0.636 0.064 0.320
0.956 0.936 0.680
0.364 0.936 0.680
0.804 0.500 0.000
0.196 0.500 0.000
0.304 0.000 0.000
0.696 0.000 0.000
```

Values from the calculation:
* space group: Cmce



(4)
A relaxed structure of PmCuI, computed with PBE.

```
PmCuI
1.0
-2.102 0.507 3.629
-3.754 -1.839 0.607
6.259 -9.634 4.060
Pm Cu I
2 2 2
direct
0.988 0.988 0.656
0.012 0.012 0.344
0.336 0.336 0.501
0.664 0.664 0.499
0.319 0.319 0.168
0.681 0.681 0.832
```

Values from the calculation:
* space group: C2/m
* total magnetic moment: 0.000 μB per atom



VASP energy (computed, eV per atom): -2.2731, -5.0503, -4.5386, -4.1192